Material: CaHf2Nb
Method: DFT, PBE
State: relaxed

Cell lengths 4.3411, 4.3411, 10.7640 Å; angles 78.37, 78.37, 90.00 degrees
Positions (direct):
Nb (0.0000, 0.0000, 0.0000)
Nb (0.7500, 0.2500, 0.5000)
Hf (0.1023, 0.1250, 0.2500)
Hf (0.6477, 0.6250, 0.2500)
Hf (0.3750, 0.8977, 0.7500)
Hf (0.8750, 0.3523, 0.7500)
Ca (0.5000, 0.5000, 0.0000)
Ca (0.2500, 0.7500, 0.5000)

## Properties
Total magnetization: 0.0 μB/f.u.
Energy above the most stable polymorph in this dataset: 41.7 kJ per mole of atoms
SG: No. 122
ΔE_f: 0.893 eV per atom
DOS at the Fermi energy: 1.34 states/eV/atom



Material: ThFeH2
Method: DFT, PBE
State: relaxed

Cell lengths 4.0913, 4.0913, 4.2201 Å; angles 61.00, 61.00, 60.00 degrees
Positions (direct):
H (0.1529, 0.1529, 0.5412)
H (0.8471, 0.8471, 0.4588)
Fe (0.0000, 0.0000, 0.0000)
Th (0.5000, 0.5000, 0.5000)

## Properties
Total magnetization: 0.3 μB/f.u.
E_tot: -5.822 eV per atom
SG: No. 166
DOS at the Fermi energy: 0.83 states/eV/atom



Material: FeTePb2Au
Method: DFT, PBE
State: relaxed

Cell lengths 5.5758, 5.4231, 5.5758 Å; angles 90.00, 90.00, 90.00 degrees
Positions (direct):
Pb (0.0000, 0.0000, 0.5000)
Pb (0.5000, 0.0000, 0.0000)
Te (0.0000, 0.5000, 0.0000)
Au (0.0000, 0.0000, 0.0000)
Fe (0.5000, 0.5000, 0.5000)

## Properties
Total magnetization: 3.5 μB/f.u.
SG: No. 123
Formation energy from raw total energies: 0.873 eV/atom
DOS at the Fermi energy: 1.22 states/eV/atom



Material: SrFe2Au
Method: DFT, PBE
State: relaxed

Cell lengths 5.3480, 5.3480, 5.3480 Å; angles 134.46, 134.46, 66.36 degrees
Positions (direct):
Au (0.7500, 0.2500, 0.5000)
Fe (0.0000, 0.0000, 0.0000)
Fe (0.5000, 0.5000, 0.0000)
Sr (0.2500, 0.7500, 0.5000)

## Properties
Total magnetization: 5.3 μB/f.u.
SG: No. 139
ΔE_f: 0.516 eV per atom
DOS at the Fermi energy: 1.12 states/eV/atom



Material: Mo3OsN
Method: DFT, PBE
State: relaxed

Cell lengths 4.7183, 4.7183, 4.7183 Å; angles 90.00, 90.00, 90.00 degrees
Positions (direct):
Mo (0.0000, 0.5000, 0.0000)
Mo (0.0000, 0.0000, 0.5000)
Mo (0.5000, 0.0000, 0.0000)
Os (0.0000, 0.0000, 0.0000)
N (0.5000, 0.5000, 0.5000)

## Properties
Total magnetization: 0.0 μB/f.u.
Energy above the most stable polymorph in this dataset: 271.7 kJ per mole of atoms
SG: No. 221
Formation energy from raw total energies: 2.750 eV/atom
DOS at the Fermi energy: 1.21 states/eV/atom



Material: MgGa2Cu2
Method: DFT, PBE
State: relaxed

Cell lengths 7.3970, 7.3970, 2.8520 Å; angles 90.00, 90.00, 90.00 degrees
Positions (direct):
Mg (0.0000, 0.0000, 0.0000)
Mg (0.5000, 0.5000, 0.0000)
Cu (0.1767, 0.6767, 0.5000)
Cu (0.6767, 0.8233, 0.5000)
Cu (0.8233, 0.3233, 0.5000)
Cu (0.3233, 0.1767, 0.5000)
Ga (0.3748, 0.8748, 0.0000)
Ga (0.8748, 0.6252, 0.0000)
Ga (0.6252, 0.1252, 0.0000)
Ga (0.1252, 0.3748, 0.0000)

## Properties
Total magnetization: 0.0 μB/f.u.
Energy above the most stable polymorph in this dataset: 4.1 kJ per mole of atoms
SG: No. 127
ΔE_f: -0.039 eV per atom
DOS at the Fermi energy: 0.31 states/eV/atom



Material: LaTb3Ru
Method: DFT, PBE
State: relaxed

Cell lengths 7.4116, 7.4116, 7.3203 Å; angles 107.79, 111.78, 109.37 degrees
Positions (direct):
La (0.7172, 0.0484, 0.7655)
La (0.2828, 0.9516, 0.2345)
Tb (0.8443, 0.0559, 0.3020)
Tb (0.2461, 0.4578, 0.3020)
Tb (0.7539, 0.5422, 0.6980)
Tb (0.6999, 0.4481, 0.1481)
Tb (0.1557, 0.9441, 0.6980)
Tb (0.3001, 0.5519, 0.8519)
Ru (0.6443, 0.7533, 0.3977)
Ru (0.3557, 0.2467, 0.6023)

## Properties
Total magnetization: 0.0 μB/f.u.
Energy above the most stable polymorph in this dataset: 0.0 kJ per mole of atoms
SG: No. 12
ΔE_f: -0.207 eV per atom
DOS at the Fermi energy: 1.05 states/eV/atom



Material: BaHfBe2Os
Method: DFT, PBE
State: relaxed

Cell lengths 4.5910, 5.1239, 4.5910 Å; angles 90.00, 90.00, 90.00 degrees
Positions (direct):
Hf (0.5000, 0.5000, 0.5000)
Os (0.0000, 0.5000, 0.0000)
Ba (0.0000, 0.0000, 0.0000)
Be (0.0000, 0.0000, 0.5000)
Be (0.5000, 0.0000, 0.0000)

## Properties
Total magnetization: 0.0 μB/f.u.
SG: No. 123
ΔE_f: 2.345 eV per atom
DOS at the Fermi energy: 0.85 states/eV/atom